No. 1
Computed, not measured: a relaxed structure of CsCaSb2 at the PBEsol level of DFT.

Results
As for the uncorrected formation energy: -272 meV per atom. The crystal system is cubic. The space group is Fm-3m. The value obtained for the total magnetization is 0.00 μB/cell. Its calculated volume is 134 Å³/cell.

The structure in extended XYZ format:
```
4
Lattice="0.0000 4.0572 4.0572 4.0572 0.0000 4.0572 4.0572 4.0572 0.0000" Properties=species:S:1:pos:R:3 pbc="T T T"
Cs 0.0000 0.0000 0.0000
Ca 4.0572 4.0572 4.0572
Sb 2.0286 2.0286 2.0286
Sb 6.0858 6.0858 6.0858
```



No. 2
Computed, not measured: a relaxed structure of Ag2Hg at the PBEsol level of DFT.

Results
The crystal system is tetragonal. For the relative energy among the computed polymorphs, the calculation gives 0.013 eV per atom. The space group is I4/mmm. The value obtained for the total magnetization is 0.00 μB/cell. Its calculated volume is 54 Å³/cell.

The structure in extended XYZ format:
```
3
Lattice="-1.4875 1.4875 6.0859 1.4875 -1.4875 6.0859 1.4875 1.4875 -6.0859" Properties=species:S:1:pos:R:3 pbc="T T T"
Ag 0.0000 0.0000 2.0842
Ag 0.0000 0.0000 10.0875
Hg 0.0000 0.0000 6.0859
```



No. 3
Computed, not measured: a relaxed structure of RbTlW3 at the PBEsol level of DFT.

Results
The value obtained for the total energy is -25.73 eV per cell. The crystal system is cubic. The space group is Pm-3m. The value obtained for the total magnetization is 0.00 μB/cell. Its calculated volume is 105 Å³/cell.

The structure in extended XYZ format:
```
5
Lattice="4.7163 0.0000 0.0000 0.0000 4.7163 0.0000 0.0000 0.0000 4.7163" Properties=species:S:1:pos:R:3 pbc="T T T"
Rb 0.0000 0.0000 0.0000
Tl 2.3582 2.3582 2.3582
W 0.0000 0.0000 2.3582
W 0.0000 2.3582 0.0000
W 2.3582 0.0000 0.0000
```



No. 4
Computed, not measured: a relaxed structure of ZrAg4Rh at the PBEsol level of DFT.

Results
The value obtained for the total energy is -29.98 eV per cell. The crystal system is cubic. The space group is F-43m. The value obtained for the total magnetization is 0.00 μB/cell. Its calculated volume is 102 Å³/cell.

The structure in extended XYZ format:
```
6
Lattice="0.0000 3.7075 3.7075 3.7075 0.0000 3.7075 3.7075 3.7075 0.0000" Properties=species:S:1:pos:R:3 pbc="T T T"
Zr 0.0000 0.0000 0.0000
Ag 2.7827 2.7827 2.7827
Ag 4.6323 4.6323 2.7827
Ag 4.6323 2.7827 4.6323
Ag 2.7827 4.6323 4.6323
Rh 5.5612 5.5612 5.5612
```